No. 1
Density functional theory data (PBE-GGA) for a relaxed ReAs2Ir crystal.

Calculated values
* space-group type: No. 122
* crystal system: tetragonal
* ΔE to the lowest computed polymorph: 0.3197 eV per atom
* ΔH_f (0 K): 0.400 eV per atom

```
ReAs2Ir
1.0
-2.7721 2.7721 5.5243
2.7721 -2.7721 5.5243
2.7721 2.7721 -5.5243
Re As Ir
2 4 2
Direct
0.0000 0.0000 0.0000
0.7500 0.2500 0.5000
0.1252 0.6250 0.0002
0.3750 0.3752 0.5002
0.6248 0.1250 0.9998
0.8750 0.8748 0.4998
0.2500 0.7500 0.5000
0.5000 0.5000 0.0000
```


No. 2
Density functional theory data (PBE-GGA) for a relaxed Re2AsIr crystal.

Calculated values
* space-group type: No. 12
* crystal system: monoclinic
* ΔH_f (0 K): 0.243 eV per atom

```
Re2AsIr
1.0
4.7079 -1.4446 0.0000
4.7079 1.4446 0.0000
-0.2436 0.0000 4.5280
Re As Ir
2 1 1
Direct
0.2240 0.2240 0.2351
0.7760 0.7760 0.7649
0.0000 0.0000 0.5000
0.5000 0.5000 0.0000
```


No. 3
Density functional theory data (PBE-GGA) for a relaxed ReAsIr crystal.

Calculated values
* space-group type: No. 107
* crystal system: tetragonal
* ΔE to the lowest computed polymorph: 0.1129 eV per atom
* ΔH_f (0 K): 0.247 eV per atom

```
ReAsIr
1.0
-1.4633 1.4633 5.3260
1.4633 -1.4633 5.3260
1.4633 1.4633 -5.3260
Re As Ir
1 1 1
Direct
0.0000 0.0000 0.0000
0.3421 0.3421 0.0000
0.6619 0.6619 0.0000
```


No. 4
Density functional theory data (PBE-GGA) for a relaxed Re2AsIr crystal.

Calculated values
* space-group type: No. 123
* crystal system: tetragonal
* ΔH_f (0 K): 0.558 eV per atom

```
Re2AsIr
1.0
3.7404 0.0000 0.0000
0.0000 3.7404 0.0000
0.0000 0.0000 4.3604
Re As Ir
2 1 1
Direct
0.0000 0.5000 0.0000
0.5000 0.0000 0.0000
0.0000 0.0000 0.5000
0.5000 0.5000 0.5000
```


Result set for calculated total energy: -7.252 -9.359 -8.405 -9.044 eV/atom, one per record in the order listed.
Result set for total magnetic moment: 0.00 0.00 0.00 0.00 μB per formula unit, one per record in the order listed.